(1)
Entry from the Alexandria database: an optimized crystal structure of LaLuMnCd (PBE-GGA).

Properties
Its formation energy from the elements is 0.017 eV/atom.

abc: 5.2522 5.2522 5.2522
angles: 60.00 60.00 60.00
With the nearest neighbours (Å) after each atom.
Element x y z (fractional)
La: 0.0000 0.0000 0.0000  4 Mn 3.22, 4 Cd 3.22
Lu: 0.5000 0.5000 0.5000  4 Mn 3.22, 4 Cd 3.22
Mn: 0.7500 0.7500 0.7500  4 La 3.22, 4 Lu 3.22
Cd: 0.2500 0.2500 0.2500  4 La 3.22, 4 Lu 3.22

=====

(2)
Entry from the Alexandria database: an optimized crystal structure of PrYAg (PBE-GGA).

Properties
Its formation energy from the elements is -0.168 eV/atom. As for the polymorph energy (0 for the lowest one): 0 meV per atom.

abc: 6.9953 5.2481 9.4277
angles: 90.00 90.00 90.00
With the nearest neighbours (Å) after each atom.
Element x y z (fractional)
Pr: 0.1577 0.2500 0.0825  4 Ag 3.05-3.24
Pr: 0.3423 0.7500 0.5825  4 Ag 3.05-3.24
Pr: 0.6577 0.2500 0.4175  4 Ag 3.05-3.24
Pr: 0.8423 0.7500 0.9175  4 Ag 3.05-3.24
Y: 0.0103 0.2500 0.6881  3 Ag 3.06-3.19
Y: 0.4897 0.7500 0.1881  3 Ag 3.06-3.19
Y: 0.5103 0.2500 0.8119  3 Ag 3.06-3.19
Y: 0.9897 0.7500 0.3119  3 Ag 3.06-3.19
Ag: 0.2193 0.2500 0.4031  4 Pr 3.05-3.24, 3 Y 3.06-3.19
Ag: 0.2807 0.7500 0.9031  4 Pr 3.05-3.24, 3 Y 3.06-3.19
Ag: 0.7193 0.2500 0.0969  4 Pr 3.05-3.24, 3 Y 3.06-3.19
Ag: 0.7807 0.7500 0.5969  4 Pr 3.05-3.24, 3 Y 3.06-3.19

=====

(3)
Entry from the Alexandria database: an optimized crystal structure of ReTcC2 (PBE-GGA).

Properties
Its formation energy from the elements is 1.001 eV/atom. As for the polymorph energy (0 for the lowest one): 361 meV per atom.

abc: 3.8044 3.8044 3.8044
angles: 60.00 60.00 60.00
With the nearest neighbours (Å) after each atom.
Element x y z (fractional)
Re: 0.0000 0.0000 0.0000  8 C 2.33
Tc: 0.5000 0.5000 0.5000  8 C 2.33
C: 0.2500 0.2500 0.2500  4 Tc 2.33, 4 Re 2.33
C: 0.7500 0.7500 0.7500  4 Tc 2.33, 4 Re 2.33

=====

(4)
Entry from the Alexandria database: an optimized crystal structure of La5Sm5Tm2 (PBE-GGA).

Properties
Its formation energy from the elements is 0.024 eV/atom.

abc: 8.1439 8.1439 11.5382
angles: 114.95 114.95 37.14
With the nearest neighbours (Å) after each atom.
Element x y z (fractional)
La: 0.0000 0.0000 0.0000  2 Tm 3.61, 8 Sm 3.65-3.67, 2 La 3.68
La: 0.1644 0.1644 0.4989  5 Sm 3.63-3.71, 2 Tm 3.63-3.67, 5 La 3.66-3.70
La: 0.2522 0.2522 0.2512  6 Sm 3.62-3.69, 2 Tm 3.65, 4 La 3.66-3.68
La: 0.7478 0.7478 0.7488  6 Sm 3.62-3.69, 2 Tm 3.65, 4 La 3.66-3.68
La: 0.8356 0.8356 0.5011  5 Sm 3.63-3.71, 2 Tm 3.63-3.67, 5 La 3.66-3.70
Sm: 0.3321 0.3321 0.9998  3 Tm 3.62-3.64, 5 La 3.62-3.67, 4 Sm 3.63-3.67
Sm: 0.4189 0.4189 0.7513  2 Tm 3.62, 3 Sm 3.63-3.67, 7 La 3.65-3.71
Sm: 0.5000 0.5000 0.5000  6 La 3.62-3.63, 2 Sm 3.63, 4 Tm 3.69
Sm: 0.5811 0.5811 0.2487  2 Tm 3.62, 3 Sm 3.63-3.67, 7 La 3.65-3.71
Sm: 0.6679 0.6679 0.0002  3 Tm 3.62-3.64, 5 La 3.62-3.67, 4 Sm 3.63-3.67
Tm: 0.0834 0.0834 0.7534  5 La 3.61-3.67, 7 Sm 3.62-3.69
Tm: 0.9166 0.9166 0.2466  5 La 3.61-3.67, 7 Sm 3.62-3.69

=====

Number 4 is which compound? La5Sm5Tm2

=====

Which value of formation energy from the elements does entry 1 give? 0.017 eV/atom

=====

The lowest formation energy from the elements belongs to which entry? PrYAg

=====

Please write out number 4 again, unchanged.
Entry from the Alexandria database: an optimized crystal structure of La5Sm5Tm2 (PBE-GGA).

Properties
Its formation energy from the elements is 0.024 eV/atom.

abc: 8.1439 8.1439 11.5382
angles: 114.95 114.95 37.14
With the nearest neighbours (Å) after each atom.
Element x y z (fractional)
La: 0.0000 0.0000 0.0000  2 Tm 3.61, 8 Sm 3.65-3.67, 2 La 3.68
La: 0.1644 0.1644 0.4989  5 Sm 3.63-3.71, 2 Tm 3.63-3.67, 5 La 3.66-3.70
La: 0.2522 0.2522 0.2512  6 Sm 3.62-3.69, 2 Tm 3.65, 4 La 3.66-3.68
La: 0.7478 0.7478 0.7488  6 Sm 3.62-3.69, 2 Tm 3.65, 4 La 3.66-3.68
La: 0.8356 0.8356 0.5011  5 Sm 3.63-3.71, 2 Tm 3.63-3.67, 5 La 3.66-3.70
Sm: 0.3321 0.3321 0.9998  3 Tm 3.62-3.64, 5 La 3.62-3.67, 4 Sm 3.63-3.67
Sm: 0.4189 0.4189 0.7513  2 Tm 3.62, 3 Sm 3.63-3.67, 7 La 3.65-3.71
Sm: 0.5000 0.5000 0.5000  6 La 3.62-3.63, 2 Sm 3.63, 4 Tm 3.69
Sm: 0.5811 0.5811 0.2487  2 Tm 3.62, 3 Sm 3.63-3.67, 7 La 3.65-3.71
Sm: 0.6679 0.6679 0.0002  3 Tm 3.62-3.64, 5 La 3.62-3.67, 4 Sm 3.63-3.67
Tm: 0.0834 0.0834 0.7534  5 La 3.61-3.67, 7 Sm 3.62-3.69
Tm: 0.9166 0.9166 0.2466  5 La 3.61-3.67, 7 Sm 3.62-3.69